## w
Computed, not measured: a relaxed RbGaMo crystal at the PBE-GGA level of DFT.

Properties
V (Å³ per cell): 92.8
SG: F-43m
Crystal system: cubic
Magnetic moment (μB/cell): 3.46

abc: 5.0812 5.0812 5.0812
angles: 60.00 60.00 60.00
Last column: nearest neighbours and their distance in Å.
Atoms (fractional coordinates):
Rb: 0.0000 0.0000 0.0000  4 Ga 3.11
Ga: 0.7500 0.7500 0.7500  4 Mo 3.11, 4 Rb 3.11
Mo: 0.5000 0.5000 0.5000  4 Ga 3.11

## x
Computed, not measured: a relaxed RbGaMo crystal at the PBE-GGA level of DFT.

Properties
V (Å³ per cell): 116.0
SG: F-43m
Crystal system: cubic
Magnetic moment (μB/cell): 4.32

abc: 5.4736 5.4736 5.4736
angles: 60.00 60.00 60.00
Last column: nearest neighbours and their distance in Å.
Atoms (fractional coordinates):
Rb: 0.0000 0.0000 0.0000  4 Ga 3.35, 4 Mo 3.35
Ga: 0.7500 0.7500 0.7500  4 Rb 3.35
Mo: 0.2500 0.2500 0.2500  4 Rb 3.35

w wins, 496 meV/atom ahead of the next structure.

## w
Computed, not measured: a relaxed GaTeMo crystal at the PBE-GGA level of DFT.

Properties
V (Å³ per cell): 65.6
SG: F-43m
Crystal system: cubic
Magnetic moment (μB/cell): 1.00

abc: 4.5273 4.5273 4.5273
angles: 60.00 60.00 60.00
Last column: nearest neighbours and their distance in Å.
Atoms (fractional coordinates):
Ga: 0.0000 0.0000 0.0000  4 Mo 2.77
Te: 0.5000 0.5000 0.5000  4 Mo 2.77
Mo: 0.2500 0.2500 0.2500  4 Te 2.77, 4 Ga 2.77

## x
Computed, not measured: a relaxed GaTeMo crystal at the PBE-GGA level of DFT.

Properties
V (Å³ per cell): 67.2
SG: F-43m
Crystal system: cubic
Magnetic moment (μB/cell): 0.69

abc: 4.5642 4.5642 4.5642
angles: 60.00 60.00 60.00
Last column: nearest neighbours and their distance in Å.
Atoms (fractional coordinates):
Ga: 0.0000 0.0000 0.0000  4 Te 2.79
Te: 0.2500 0.2500 0.2500  4 Mo 2.79, 4 Ga 2.79
Mo: 0.5000 0.5000 0.5000  4 Te 2.79

w wins, 402 meV/atom ahead of the next structure.

## w
Computed, not measured: a relaxed TmGaMo crystal at the PBE-GGA level of DFT.

Properties
V (Å³ per cell): 64.1
SG: F-43m
Crystal system: cubic
Magnetic moment (μB/cell): 1.07

abc: 4.4928 4.4928 4.4928
angles: 60.00 60.00 60.00
Last column: nearest neighbours and their distance in Å.
Atoms (fractional coordinates):
Tm: 0.0000 0.0000 0.0000  4 Ga 2.75
Ga: 0.7500 0.7500 0.7500  4 Mo 2.75, 4 Tm 2.75
Mo: 0.5000 0.5000 0.5000  4 Ga 2.75

## x
Computed, not measured: a relaxed TmGaMo crystal at the PBE-GGA level of DFT.

Properties
V (Å³ per cell): 73.5
SG: F-43m
Crystal system: cubic
Magnetic moment (μB/cell): 2.76

abc: 4.7009 4.7009 4.7009
angles: 60.00 60.00 60.00
Last column: nearest neighbours and their distance in Å.
Atoms (fractional coordinates):
Tm: 0.0000 0.0000 0.0000  4 Mo 2.88, 4 Ga 2.88
Ga: 0.7500 0.7500 0.7500  4 Tm 2.88
Mo: 0.2500 0.2500 0.2500  4 Tm 2.88

w wins, 744 meV/atom ahead of the next structure.

## w
Computed, not measured: a relaxed PaGaNO crystal at the PBE-GGA level of DFT.

Properties
V (Å³ per cell): 130.4
SG: Pmc2_1
Crystal system: orthorhombic
Magnetic moment (μB/cell): 2.00

abc: 3.7601 5.6284 6.1608
angles: 90.00 90.00 90.00
Last column: nearest neighbours and their distance in Å.
Atoms (fractional coordinates):
Pa: 0.0000 0.2117 0.0000  2 N 2.22-2.38, 2 O 2.27
Pa: 0.0000 0.7883 0.5000  2 N 2.22-2.38, 2 O 2.27
Ga: 0.5000 0.2222 0.4882  1 O 1.92, 2 N 2.11
Ga: 0.5000 0.7778 0.9882  1 O 1.92, 2 N 2.11
N: 0.0000 0.1814 0.6407  2 Ga 2.11, 1 Pa 2.22
N: 0.0000 0.8186 0.1407  2 Ga 2.11, 1 Pa 2.22
O: 0.5000 0.4364 0.9818  1 Ga 1.92
O: 0.5000 0.5636 0.4818  1 Ga 1.92

## x
Computed, not measured: a relaxed PaGaNO crystal at the PBE-GGA level of DFT.

Properties
V (Å³ per cell): 109.8
SG: P4/nmm
Crystal system: tetragonal
Magnetic moment (μB/cell): 0.00

abc: 3.5078 3.5078 8.9194
angles: 90.00 90.00 90.00
Last column: nearest neighbours and their distance in Å.
Atoms (fractional coordinates):
Pa: 0.2500 0.2500 0.1720  4 O 2.33, 4 N 2.56
Pa: 0.7500 0.7500 0.8280  4 O 2.33, 4 N 2.56
Ga: 0.2500 0.7500 0.5000  4 Ga 2.48
Ga: 0.7500 0.2500 0.5000  4 Ga 2.48
N: 0.2500 0.2500 0.7575  4 Pa 2.56, 4 O 2.78
N: 0.7500 0.7500 0.2425  4 Pa 2.56, 4 O 2.78
O: 0.2500 0.7500 0.0000  4 Pa 2.33, 4 O 2.48
O: 0.7500 0.2500 0.0000  4 Pa 2.33, 4 O 2.48

w wins, 28 meV/atom ahead of the next structure.

## w
Computed, not measured: a relaxed PaGaNO crystal at the PBE-GGA level of DFT.

Properties
V (Å³ per cell): 109.7
SG: P4/nmm
Crystal system: tetragonal
Magnetic moment (μB/cell): 0.08

abc: 4.7431 4.7431 4.8743
angles: 90.00 90.00 90.00
Last column: nearest neighbours and their distance in Å.
Atoms (fractional coordinates):
Pa: 0.2500 0.7500 0.0000  2 O 2.44, 4 N 2.48
Pa: 0.7500 0.2500 0.0000  2 O 2.44, 4 N 2.48
Ga: 0.2500 0.2500 0.4606  1 N 1.91
Ga: 0.7500 0.7500 0.5394  1 N 1.91
N: 0.2500 0.2500 0.8534  1 Ga 1.91
N: 0.7500 0.7500 0.1466  1 Ga 1.91
O: 0.2500 0.7500 0.5000  4 Ga 2.38, 2 Pa 2.44
O: 0.7500 0.2500 0.5000  4 Ga 2.38, 2 Pa 2.44

## x
Computed, not measured: a relaxed PaGaNO crystal at the PBE-GGA level of DFT.

Properties
V (Å³ per cell): 135.7
SG: Pmc2_1
Crystal system: orthorhombic
Magnetic moment (μB/cell): 2.00

abc: 3.6654 5.7778 6.4089
angles: 90.00 90.00 90.00
Last column: nearest neighbours and their distance in Å.
Atoms (fractional coordinates):
Pa: 0.0000 0.2011 0.0000  2 N 2.23, 2 O 2.26-2.34
Pa: 0.0000 0.7989 0.5000  2 N 2.23, 2 O 2.26-2.34
Ga: 0.5000 0.2558 0.4579  1 N 1.88
Ga: 0.5000 0.7442 0.9579  1 N 1.88
N: 0.5000 0.4198 0.9846  1 Ga 1.88
N: 0.5000 0.5802 0.4846  1 Ga 1.88
O: 0.0000 0.1695 0.6490  2 Pa 2.26-2.34, 2 Ga 2.26
O: 0.0000 0.8305 0.1490  2 Pa 2.26-2.34, 2 Ga 2.26

x wins, 163 meV/atom ahead of the next structure.